RbLa2AuSe4 | PBE | optimized geometry

Its energy is -5.0599 eV/atom.

The space group is Cmcm (No. 63) and the conventional cell measures 4.380, 14.896 and 15.089 Å, with angles of 90.00, 90.00 and 90.00 degrees. The inequivalent atoms are Rb at (0.000, 0.118, 0.250), La at (0.000, 0.368, 0.066), Au at (0.000, 0.155, 0.750), Se at (0.000, 0.000, 0.000), Se at (0.000, 0.263, 0.607) and Se at (0.000, 0.443, 0.250).


LaRe2Au | PBE | optimized geometry

As for the offset from the most stable computed form: 361 meV per atom. The value obtained for the calculated formation energy is 0.441 eV per atom.

The space group is Imm2 (No. 44) and the conventional cell measures 3.925, 4.863 and 8.619 Å, with angles of 90.00, 90.00 and 90.00 degrees. The inequivalent atoms are La at (0.000, 0.000, 0.000), Re at (0.000, 0.000, 0.441), Re at (0.000, 0.500, 0.768) and Au at (0.000, 0.500, 0.219).


LaRe4Au | PBE | optimized geometry

The value obtained for the calculated formation energy is 0.399 eV per atom.

The space group is F-43m (No. 216) and the conventional cell measures 7.642, 7.642 and 7.642 Å, with angles of 90.00, 90.00 and 90.00 degrees. The inequivalent atoms are La at (0.000, 0.000, 0.000), Re at (0.124, 0.124, 0.624) and Au at (0.250, 0.250, 0.250).


LaRe2Au | PBE | optimized geometry

As for the offset from the most stable computed form: 577 meV per atom. The value obtained for the calculated formation energy is 0.657 eV per atom.

The space group is P4/mmm (No. 123) and the conventional cell measures 4.087, 4.087 and 4.672 Å, with angles of 90.00, 90.00 and 90.00 degrees. The inequivalent atoms are La at (0.000, 0.000, 0.000), Re at (0.000, 0.500, 0.500) and Au at (0.500, 0.500, 0.000).


LaRe2Au | PBE | optimized geometry

As for the offset from the most stable computed form: 914 meV per atom. The value obtained for the calculated formation energy is 0.995 eV per atom.

The space group is Fm-3m (No. 225) and the conventional cell measures 6.683, 6.683 and 6.683 Å, with angles of 90.00, 90.00 and 90.00 degrees. The inequivalent atoms are La at (0.000, 0.000, 0.000), Re at (0.250, 0.250, 0.250) and Au at (0.000, 0.000, 0.500).


LaRe2Au | PBE | optimized geometry

As for the offset from the most stable computed form: 0 meV per atom. The value obtained for the calculated formation energy is 0.080 eV per atom.

The space group is R3m (No. 160, hexagonal axes) and the conventional cell measures 4.3523, 4.3523 and 16.6700 Å, with angles of 90.00, 90.00 and 120.00 degrees. The inequivalent atoms are La at (0.0000, 0.0000, 0.0000), Re at (0.0000, 0.0000, 0.2004), Re at (0.0000, 0.0000, 0.5240) and Au at (0.0000, 0.0000, 0.7851).